[1]
Compound: AcCo2Pb
Source: OQMD via LeMat-Bulk
Functional: PBE
Structure: relaxed Values from VASP.

Values from the calculation:
Total energy (eV/atom): -4.61

```
&SYSTEM
  ibrav = 0, nat = 4, ntyp = 3
/
ATOMIC_SPECIES
Ac 227.00 Ac.upf
Co 58.93 Co.upf
Pb 207.20 Pb.upf
CELL_PARAMETERS angstrom
3.500 0.000 0.000
-1.750 3.031 0.000
0.000 0.000 8.550
ATOMIC_POSITIONS crystal
Ac 0.000 0.000 0.000
Co 0.000 0.000 0.298
Co 0.000 0.000 0.702
Pb 0.667 0.333 0.500
```

=====

[2]
Compound: ScOsPd2
Source: OQMD via LeMat-Bulk
Functional: PBE
Structure: relaxed Values from VASP.

Values from the calculation:
ΔE_f (eV per atom): -0.10

```
&SYSTEM
  ibrav = 0, nat = 16, ntyp = 3
/
ATOMIC_SPECIES
Sc 44.96 Sc.upf
Os 190.23 Os.upf
Pd 106.42 Pd.upf
CELL_PARAMETERS angstrom
6.347 0.000 0.000
0.000 6.347 0.000
0.000 0.000 6.347
ATOMIC_POSITIONS crystal
Sc 0.000 0.000 0.000
Sc 0.000 0.500 0.500
Sc 0.500 0.000 0.500
Sc 0.500 0.500 0.000
Os 0.250 0.250 0.250
Os 0.250 0.750 0.750
Os 0.750 0.250 0.750
Os 0.750 0.750 0.250
Pd 0.000 0.000 0.500
Pd 0.000 0.500 0.000
Pd 0.250 0.250 0.750
Pd 0.250 0.750 0.250
Pd 0.500 0.000 0.000
Pd 0.500 0.500 0.500
Pd 0.750 0.250 0.250
Pd 0.750 0.750 0.750
```

=====

[3]
Compound: Ir2Au
Source: OQMD via LeMat-Bulk
Functional: PBE
Structure: relaxed Values from VASP.

Values from the calculation:
ΔE_f (eV per atom): 1.16
Relative energy among the computed polymorphs (eV/atom): 0.5045

```
&SYSTEM
  ibrav = 0, nat = 12, ntyp = 2
/
ATOMIC_SPECIES
Ir 192.22 Ir.upf
Au 196.97 Au.upf
CELL_PARAMETERS angstrom
6.039 0.000 0.000
0.000 6.039 0.000
0.000 0.000 6.039
ATOMIC_POSITIONS crystal
Ir 0.250 0.250 0.250
Ir 0.250 0.250 0.750
Ir 0.250 0.750 0.250
Ir 0.250 0.750 0.750
Ir 0.750 0.250 0.250
Ir 0.750 0.250 0.750
Ir 0.750 0.750 0.250
Ir 0.750 0.750 0.750
Au 0.000 0.000 0.000
Au 0.000 0.500 0.500
Au 0.500 0.000 0.500
Au 0.500 0.500 0.000
```

=====

[4]
Compound: LiZnNiMo
Source: OQMD via LeMat-Bulk
Functional: PBE
Structure: relaxed Values from VASP.

Values from the calculation:
Relative energy among the computed polymorphs (eV/atom): 0.2209

```
&SYSTEM
  ibrav = 0, nat = 16, ntyp = 4
/
ATOMIC_SPECIES
Li 6.94 Li.upf
Zn 65.41 Zn.upf
Ni 58.69 Ni.upf
Mo 95.94 Mo.upf
CELL_PARAMETERS angstrom
5.918 0.000 0.000
0.000 5.918 0.000
0.000 0.000 5.918
ATOMIC_POSITIONS crystal
Li 0.000 0.000 0.000
Li 0.000 0.500 0.500
Li 0.500 0.000 0.500
Li 0.500 0.500 0.000
Zn 0.000 0.000 0.500
Zn 0.000 0.500 0.000
Zn 0.500 0.000 0.000
Zn 0.500 0.500 0.500
Ni 0.250 0.250 0.750
Ni 0.250 0.750 0.250
Ni 0.750 0.250 0.250
Ni 0.750 0.750 0.750
Mo 0.250 0.250 0.250
Mo 0.250 0.750 0.750
Mo 0.750 0.250 0.750
Mo 0.750 0.750 0.250
```